## PmPu2Os (PBE)

Data for a geometry-optimized PmPu2Os structure.

Computed properties:
magnetization	11.16	μB/f.u.
energy relative to the elements	-0.012	eV per atom
volume	25.65	A^3/atom

Cell lengths 14.9024, 9.1988, 5.9874 Å; angles 90.00, 90.00, 90.00 degrees
Positions (direct):
Pm  0.1083  0.2500  0.2361
Pm  0.1424  0.7500  0.9829
Pm  0.3576  0.2500  0.4829
Pm  0.3917  0.7500  0.7361
Pm  0.6083  0.2500  0.2639
Pm  0.6424  0.7500  0.5171
Pm  0.8576  0.2500  0.0171
Pm  0.8917  0.7500  0.7639
Pu  0.0370  0.0571  0.7424
Pu  0.0370  0.4429  0.7424
Pu  0.2131  0.5589  0.4611
Pu  0.2131  0.9411  0.4611
Pu  0.2869  0.0589  0.9611
Pu  0.2869  0.4411  0.9611
Pu  0.4630  0.5571  0.2424
Pu  0.4630  0.9429  0.2424
Pu  0.5370  0.0571  0.7576
Pu  0.5370  0.4429  0.7576
Pu  0.7131  0.5589  0.0389
Pu  0.7131  0.9411  0.0389
Pu  0.7869  0.0589  0.5389
Pu  0.7869  0.4411  0.5389
Pu  0.9630  0.5571  0.2576
Pu  0.9630  0.9429  0.2576
Os  0.0705  0.7500  0.5014
Os  0.1787  0.2500  0.7274
Os  0.3213  0.7500  0.2274
Os  0.4295  0.2500  0.0014
Os  0.5705  0.7500  0.9986
Os  0.6787  0.2500  0.7726
Os  0.8213  0.7500  0.2726
Os  0.9295  0.2500  0.4986

## PmPuOs2 (PBE)

Data for a geometry-optimized PmPuOs2 structure.

Computed properties:
magnetization	3.79	μB/f.u.
energy relative to the elements	0.134	eV per atom
volume	20.33	A^3/atom

Cell lengths 4.8626, 4.8626, 4.8626 Å; angles 60.00, 60.00, 60.00 degrees
Positions (direct):
Pm  0.0000  0.0000  0.0000
Pu  0.5000  0.5000  0.5000
Os  0.2500  0.2500  0.2500
Os  0.7500  0.7500  0.7500

## Pm2PuOs2 (PBE)

Data for a geometry-optimized Pm2PuOs2 structure.

Computed properties:
magnetization	4.28	μB/f.u.
energy relative to the elements	-0.144	eV per atom
volume	23.54	A^3/atom

Cell lengths 5.8245, 5.8245, 8.0661 Å; angles 99.69, 99.69, 61.30 degrees
Positions (direct):
Pm  0.0179  0.2823  0.1501
Pm  0.2823  0.0179  0.6501
Pm  0.7177  0.9821  0.3499
Pm  0.9821  0.7177  0.8499
Pu  0.3746  0.6254  0.2500
Pu  0.6254  0.3746  0.7500
Os  0.2259  0.5022  0.4919
Os  0.4978  0.7741  0.0081
Os  0.5022  0.2259  0.9919
Os  0.7741  0.4978  0.5081

## Pm2PuOs2 (PBE)

Data for a geometry-optimized Pm2PuOs2 structure.

Computed properties:
magnetization	4.47	μB/f.u.
energy relative to the elements	-0.173	eV per atom
volume	23.48	A^3/atom

Cell lengths 5.9713, 5.9713, 5.9713 Å; angles 138.04, 122.47, 73.71 degrees
Positions (direct):
Pm  0.1971  0.1971  0.0000
Pm  0.8029  0.8029  0.0000
Pu  0.5000  0.0000  0.5000
Os  0.2319  0.5000  0.7319
Os  0.7681  0.5000  0.2681

## PmPuOs2 (PBE)

Data for a geometry-optimized PmPuOs2 structure.

Computed properties:
magnetization	3.61	μB/f.u.
energy relative to the elements	0.084	eV per atom
volume	20.39	A^3/atom

Cell lengths 3.3448, 3.3448, 7.2896 Å; angles 90.00, 90.00, 90.00 degrees
Positions (direct):
Pm  0.0000  0.0000  0.0000
Pu  0.0000  0.0000  0.5000
Os  0.5000  0.5000  0.2810
Os  0.5000  0.5000  0.7190

## PmPu2Os9 (PBE)

Data for a geometry-optimized PmPu2Os9 structure.

Computed properties:
magnetization	8.61	μB/f.u.
energy relative to the elements	0.025	eV per atom
volume	17.89	A^3/atom

Cell lengths 5.3114, 5.3114, 9.2345 Å; angles 106.98, 106.98, 61.15 degrees
Positions (direct):
Pm  0.0000  0.0000  0.0000
Pu  0.1408  0.1408  0.4243
Pu  0.8592  0.8592  0.5757
Os  0.0814  0.5838  0.2399
Os  0.3633  0.3633  0.0068
Os  0.4015  0.4015  0.7357
Os  0.4162  0.9186  0.7601
Os  0.5000  0.5000  0.5000
Os  0.5838  0.0814  0.2399
Os  0.5985  0.5985  0.2643
Os  0.6367  0.6367  0.9932
Os  0.9186  0.4162  0.7601

- Which of these has the highest magnetization?
  PmPu2Os

- Which of these has the highest energy relative to the elements?
  number 2

- Look up the magnetization of the sixth one.
  8.61 μB/f.u.

- Which of these has the highest magnetization?
  PmPu2Os